# 1
Entry from the Alexandria database: a geometry-optimized GeMoPb3 structure (GGA-PBEsol). Values from VASP.

```
&SYSTEM
  ibrav = 0, nat = 5, ntyp = 3
/
ATOMIC_SPECIES
Ge 72.64 Ge.upf
Mo 95.94 Mo.upf
Pb 207.20 Pb.upf
ATOMIC_POSITIONS angstrom
Ge 0.000 0.000 0.000
Mo 2.661 2.661 2.661
Pb 0.000 2.661 2.661
Pb 2.661 0.000 2.661
Pb 2.661 2.661 0.000
CELL_PARAMETERS angstrom
5.323 0.000 0.000
0.000 5.323 0.000
0.000 0.000 5.323
```

Results
Spin magnetization in μB/f.u.: 1.138
Crystal system: cubic
Energy of formation from the pure elements in eV per atom: 0.842

# 2
Entry from the Alexandria database: a geometry-optimized GeMo3Pd structure (GGA-PBEsol). Values from VASP.

```
&SYSTEM
  ibrav = 0, nat = 5, ntyp = 3
/
ATOMIC_SPECIES
Ge 72.64 Ge.upf
Mo 95.94 Mo.upf
Pd 106.42 Pd.upf
ATOMIC_POSITIONS angstrom
Ge 0.000 0.000 0.000
Mo 0.000 0.000 2.255
Mo 0.000 2.255 0.000
Mo 2.255 0.000 0.000
Pd 2.255 2.255 2.255
CELL_PARAMETERS angstrom
4.510 0.000 0.000
0.000 4.510 0.000
0.000 0.000 4.510
```

Results
Spin magnetization in μB/f.u.: 0.001
Energy relative to the lowest polymorph listed for this composition in meV/atom: 0
Crystal system: cubic
Energy of formation from the pure elements in eV per atom: 1.462

# 3
Entry from the Alexandria database: a geometry-optimized GeMo3Pd structure (GGA-PBEsol). Values from VASP.

```
&SYSTEM
  ibrav = 0, nat = 5, ntyp = 3
/
ATOMIC_SPECIES
Ge 72.64 Ge.upf
Mo 95.94 Mo.upf
Pd 106.42 Pd.upf
ATOMIC_POSITIONS angstrom
Ge 0.000 0.000 0.000
Mo 0.000 2.327 2.327
Mo 2.327 0.000 2.327
Mo 2.327 2.327 0.000
Pd 2.327 2.327 2.327
CELL_PARAMETERS angstrom
4.654 0.000 0.000
0.000 4.654 0.000
0.000 0.000 4.654
```

Results
Spin magnetization in μB/f.u.: 0.002
Energy relative to the lowest polymorph listed for this composition in meV/atom: 531
Crystal system: cubic
Energy of formation from the pure elements in eV per atom: 1.993

# 4
Entry from the Alexandria database: a geometry-optimized Ge2MoPt structure (GGA-PBEsol). Values from VASP.

```
&SYSTEM
  ibrav = 0, nat = 4, ntyp = 3
/
ATOMIC_SPECIES
Ge 72.64 Ge.upf
Mo 95.94 Mo.upf
Pt 195.08 Pt.upf
ATOMIC_POSITIONS angstrom
Ge 1.545 1.545 1.545
Ge 4.634 4.634 4.634
Mo 0.000 0.000 0.000
Pt 3.089 3.089 3.089
CELL_PARAMETERS angstrom
0.000 3.089 3.089
3.089 0.000 3.089
3.089 3.089 0.000
```

Results
Spin magnetization in μB/f.u.: 0.000
Crystal system: cubic
Energy of formation from the pure elements in eV per atom: -0.099

- Look up the spin magnetization of the first one.
  1.138 μB/f.u.

- Among the records above, which one has the highest energy of formation from the pure elements?
  number 3

- Look up the spin magnetization of the fourth one.
  0.000 μB/f.u.